First-principles (PBE-GGA) data for Ba2MgAl3Au12 after structural relaxation, as listed in Alexandria.

Lattice parameters (Å, degrees): 8.4197 8.4197 8.4197 63.77 63.77 63.77
Last column: nearest neighbours and their distance in Å.
Fractional positions:
Ba 0.1139 0.1139 0.1139  6 Au 3.25-3.31
Ba 0.8861 0.8861 0.8861  6 Au 3.25-3.31
Mg 0.5000 0.5000 0.5000  6 Au 2.63
Al 0.0000 0.5000 0.5000  6 Au 2.51-2.52
Al 0.5000 0.0000 0.5000  6 Au 2.51-2.52
Al 0.5000 0.5000 0.0000  6 Au 2.51-2.52
Au 0.1349 0.6205 0.6205  1 Al 2.51, 1 Mg 2.63
Au 0.1567 0.1567 0.6215  2 Al 2.52
Au 0.1567 0.6215 0.1567  2 Al 2.52
Au 0.3785 0.8433 0.8433  2 Al 2.52
Au 0.3795 0.3795 0.8651  1 Al 2.51, 1 Mg 2.63
Au 0.3795 0.8651 0.3795  1 Al 2.51, 1 Mg 2.63
Au 0.6205 0.1349 0.6205  1 Al 2.51, 1 Mg 2.63
Au 0.6205 0.6205 0.1349  1 Al 2.51, 1 Mg 2.63
Au 0.6215 0.1567 0.1567  2 Al 2.52
Au 0.8433 0.3785 0.8433  2 Al 2.52
Au 0.8433 0.8433 0.3785  2 Al 2.52
Au 0.8651 0.3795 0.3795  1 Al 2.51, 1 Mg 2.63

Calculated values
Mass density in g/cm3: 9.97
Spin magnetization in μB per cell: 0.0
E_tot in eV/atom: -3.355
Crystal system: trigonal